Computed, not measured: a relaxed structure of TbPaPS at the PBE level of DFT.

The space group is R3m (No. 160, hexagonal axes) and the conventional cell measures 3.8413, 3.8413 and 21.0043 Å, with angles of 90.00, 90.00 and 120.00 degrees. The distinct sites, in fractional coordinates, are Tb at (0.0000, 0.0000, 0.0000), Pa at (0.0000, 0.0000, 0.8218), P at (0.0000, 0.0000, 0.4111) and S at (0.0000, 0.0000, 0.2428).

The density of states at the Fermi level is 1.00 states/eV/atom. The value obtained for the formation energy from raw total energies is -6.1 eV per formula unit.

Computed, not measured: a relaxed structure of Mg2InPd at the PBE level of DFT.

The space group is Immm (No. 71) and the conventional cell measures 3.023, 4.530 and 13.720 Å, with angles of 90.00, 90.00 and 90.00 degrees. The distinct sites, in fractional coordinates, are Mg at (0.000, 0.000, 0.191), In at (0.000, 0.000, 0.500) and Pd at (0.000, 0.000, 0.000).

The density of states at the Fermi level is 0.30 states/eV/atom. The formation energy is -0.16 eV/atom.

Computed, not measured: a relaxed structure of HfTaZn2 at the PBE level of DFT.

The space group is I-42d (No. 122) and the conventional cell measures 7.317, 7.317 and 5.487 Å, with angles of 90.00, 90.00 and 90.00 degrees. The distinct sites, in fractional coordinates, are Hf at (0.000, 0.000, 0.000), Ta at (0.000, 0.000, 0.500) and Zn at (0.241, 0.250, 0.625).

The density of states at the Fermi level is 0.76 states/eV/atom. The formation energy is 0.38 eV/atom.

Computed, not measured: a relaxed structure of LaGa4Pd2 at the PBE level of DFT.

The space group is P4_2/mnm (No. 136) and the conventional cell measures 7.835, 7.835 and 4.348 Å, with angles of 90.00, 90.00 and 90.00 degrees. The distinct sites, in fractional coordinates, are La at (0.000, 0.000, 0.000), Ga at (0.086, 0.337, 0.500) and Pd at (0.217, 0.783, 0.500).

The density of states at the Fermi level is 0.60 states/eV/atom. The formation energy is -0.60 eV/atom.